No. 1
First-principles (GGA-PBE) data for a geometry-optimized Tm2ZrSc structure, as listed in the Alexandria database.

## Properties
* distance to the lowest polymorph of the same formula: 0.014 eV/atom
* volume: 26.58 Å³ per atom
* E_form: 0.3 eV/f.u.
* theoretical density: 7.40 g/cm3

a = 3.3518 Å, b = 3.3518 Å, c = 32.7819 Å
α = 90.00°, β = 90.00°, γ = 120.00°
Space group R-3m (No. 166, hexagonal axes)
Inequivalent atoms, fractional coordinates:
Tm (0.0000, 0.0000, 0.2480) [6 per cell]
Zr (0.0000, 0.0000, 0.5000) [3 per cell]
Sc (0.0000, 0.0000, 0.0000) [3 per cell]

***

No. 2
First-principles (GGA-PBE) data for a geometry-optimized Ac2Zn4SnPd3 structure, as listed in the Alexandria database.

## Properties
* volume: 21.48 Å³ per atom
* E_form: -5.9 eV/f.u.
* theoretical density: 8.92 g/cm3

a = 4.3422 Å, b = 4.3422 Å, c = 11.3942 Å
α = 90.00°, β = 90.00°, γ = 90.00°
Space group P-4m2 (No. 115)
Inequivalent atoms, fractional coordinates:
Ac (0.0000, 0.5000, 0.2399) [2 per cell]
Zn (0.0000, 0.0000, 0.0000) [1 per cell]
Zn (0.0000, 0.5000, 0.6431) [2 per cell]
Zn (0.5000, 0.5000, 0.0000) [1 per cell]
Sn (0.0000, 0.0000, 0.5000) [1 per cell]
Pd (0.0000, 0.5000, 0.8700) [2 per cell]
Pd (0.5000, 0.5000, 0.5000) [1 per cell]